(1)
{"formula": "LaCrBr2", "functional": "PBE-GGA", "state": "optimized geometry", "vol_a3_per_atom": 29.74, "e_form_raw_ev_per_fu": -2.3, "total_magnetization_mub_per_atom": 1.171, "polymorph_energy_mev_per_atom": 67, "lattice": [[1.902, 1.098, 9.491], [-1.902, 1.098, 9.491], [0.000, -2.196, 9.491]], "species": ["La", "Cr", "Br", "Br"], "fractional_positions": [[0.000, 0.000, 0.000], [0.500, 0.500, 0.500], [0.410, 0.410, 0.410], [0.590, 0.590, 0.590]]}

(2)
{"formula": "Np2GaNi3Ge4", "functional": "PBE-GGA", "state": "optimized geometry", "formation_enthalpy_0k_ev_per_atom": -0.32, "vol_a3_per_atom": 16.82, "total_magnetization_mub_per_atom": 0.768, "lattice": [[4.098, 0.000, 0.000], [0.000, 4.098, 0.000], [0.000, 0.000, 10.014]], "species": ["Np", "Np", "Ga", "Ni", "Ni", "Ni", "Ge", "Ge", "Ge", "Ge"], "fractional_positions": [[0.000, 0.500, 0.243], [0.500, 0.000, 0.757], [0.000, 0.000, 0.500], [0.000, 0.500, 0.879], [0.500, 0.000, 0.121], [0.500, 0.500, 0.500], [0.000, 0.000, 0.000], [0.000, 0.500, 0.648], [0.500, 0.000, 0.352], [0.500, 0.500, 0.000]]}

(3)
{"formula": "TaHI2", "functional": "PBE-GGA", "state": "optimized geometry", "total_energy_ev_per_atom": -4.7990, "vol_a3_per_atom": 27.27, "total_magnetization_mub_per_atom": 0.072, "lattice": [[4.242, 0.000, 0.000], [0.864, 6.321, 0.000], [0.407, 3.156, 8.138]], "species": ["Ta", "Ta", "H", "H", "I", "I", "I", "I"], "fractional_positions": [[0.208, 0.144, 0.000], [0.792, 0.856, 0.000], [0.267, 0.851, 0.000], [0.733, 0.149, 0.000], [0.001, 0.391, 0.218], [0.498, 0.150, 0.699], [0.502, 0.850, 0.301], [0.999, 0.609, 0.782]]}

(4)
{"formula": "CaAc2Zn2", "functional": "PBE-GGA", "state": "optimized geometry", "formation_enthalpy_0k_ev_per_atom": -0.18, "vol_a3_per_atom": 32.39, "total_magnetization_mub_per_atom": 0.000, "polymorph_energy_mev_per_atom": 0, "lattice": [[8.873, 0.000, 0.000], [0.000, 8.873, 0.000], [0.000, 0.000, 4.114]], "species": ["Ca", "Ca", "Ac", "Ac", "Ac", "Ac", "Zn", "Zn", "Zn", "Zn"], "fractional_positions": [[0.000, 0.000, 0.000], [0.500, 0.500, 0.000], [0.160, 0.340, 0.500], [0.340, 0.840, 0.500], [0.660, 0.160, 0.500], [0.840, 0.660, 0.500], [0.134, 0.634, 0.000], [0.366, 0.134, 0.000], [0.634, 0.866, 0.000], [0.866, 0.366, 0.000]]}